Entry 1:
VASP calculation (PBE) on Rb3PrU2Se6 after structural relaxation.

Summary:
Electronic total energy in eV/atom: -5.6386
Formation energy from raw total energies in eV/atom: -1.37
ρ in g/cm³: 5.8
Fermi-level density of states in states/eV/atom: 0.897

a b c (Å): 7.4566 7.4566 8.4277
angles (deg): 98.48 98.48 120.00
Element x y z (fractional)
Rb 0.0000 0.0000 0.0000
Rb 0.3355 0.6645 0.0000
Rb 0.6645 0.3355 0.0000
Pr 0.5000 0.5000 0.5000
U 0.1669 0.8331 0.5000
U 0.8331 0.1669 0.5000
Se 0.0906 0.4332 0.3001
Se 0.2237 0.2237 0.6993
Se 0.4332 0.0906 0.3001
Se 0.5668 0.9094 0.6999
Se 0.7763 0.7763 0.3007
Se 0.9094 0.5668 0.6999

Entry 2:
VASP calculation (PBE) on Rb4PrU3Se8 after structural relaxation.

Summary:
Electronic total energy in eV/atom: -5.7294
Formation energy from raw total energies in eV/atom: -1.33
ρ in g/cm³: 5.9
Fermi-level density of states in states/eV/atom: 1.165

a b c (Å): 9.4601 9.4601 9.4601
angles (deg): 53.98 53.98 53.98
Element x y z (fractional)
Rb 0.0000 0.0000 0.0000
Rb 0.0000 0.5000 0.5000
Rb 0.5000 0.0000 0.5000
Rb 0.5000 0.5000 0.0000
Pr 0.5000 0.5000 0.5000
U 0.0000 0.0000 0.5000
U 0.0000 0.5000 0.0000
U 0.5000 0.0000 0.0000
Se 0.2259 0.7373 0.7373
Se 0.2322 0.2322 0.2322
Se 0.2627 0.2627 0.7741
Se 0.2627 0.7741 0.2627
Se 0.7373 0.2259 0.7373
Se 0.7373 0.7373 0.2259
Se 0.7678 0.7678 0.7678
Se 0.7741 0.2627 0.2627

Entry 3:
VASP calculation (PBE) on Rb3Pr3VSe8 after structural relaxation.

Summary:
Electronic total energy in eV/atom: -5.0408
Formation energy from raw total energies in eV/atom: -1.43
ρ in g/cm³: 4.4
Fermi-level density of states in states/eV/atom: 0.420

a b c (Å): 9.5502 9.5502 9.5502
angles (deg): 52.64 52.64 52.64
Element x y z (fractional)
Rb 0.0000 0.5000 0.5000
Rb 0.5000 0.0000 0.5000
Rb 0.5000 0.5000 0.0000
Pr 0.0000 0.0000 0.5000
Pr 0.0000 0.5000 0.0000
Pr 0.5000 0.0000 0.0000
V 0.5000 0.5000 0.5000
Se 0.2351 0.2351 0.2351
Se 0.2670 0.7080 0.7080
Se 0.2920 0.2920 0.7330
Se 0.2920 0.7330 0.2920
Se 0.7080 0.2670 0.7080
Se 0.7080 0.7080 0.2670
Se 0.7330 0.2920 0.2920
Se 0.7649 0.7649 0.7649

Entry 4:
VASP calculation (PBE) on Rb3Pr3YSe8 after structural relaxation.

Summary:
Electronic total energy in eV/atom: -5.0883
Formation energy from raw total energies in eV/atom: -1.65
ρ in g/cm³: 4.4
Fermi-level density of states in states/eV/atom: 0.833

a b c (Å): 8.6620 8.6620 9.5907
angles (deg): 116.89 116.89 59.98
Element x y z (fractional)
Rb 0.0000 0.0000 0.0000
Rb 0.0000 0.5000 0.0000
Rb 0.5000 0.0000 0.0000
Pr 0.0000 0.5000 0.5000
Pr 0.5000 0.0000 0.5000
Pr 0.5000 0.5000 0.5000
Y 0.0000 0.0000 0.5000
Se 0.2269 0.2269 0.6950
Se 0.2269 0.7416 0.6950
Se 0.2584 0.7731 0.3050
Se 0.2656 0.2656 0.2971
Se 0.7344 0.7344 0.7029
Se 0.7416 0.2269 0.6950
Se 0.7731 0.2584 0.3050
Se 0.7731 0.7731 0.3050

Entry 5:
VASP calculation (PBE) on RbPrY4Se8 after structural relaxation.

Summary:
Electronic total energy in eV/atom: -5.9766
Formation energy from raw total energies in eV/atom: -1.73
ρ in g/cm³: 4.3
Fermi-level density of states in states/eV/atom: 0.000

a b c (Å): 8.7868 8.7868 8.7868
angles (deg): 58.80 58.80 58.80
Element x y z (fractional)
Rb 0.0000 0.0000 0.0000
Pr 0.3640 0.3640 0.3640
Y 0.3654 0.3654 0.8822
Y 0.3654 0.8822 0.3654
Y 0.7437 0.7437 0.7437
Y 0.8822 0.3654 0.3654
Se 0.1296 0.1296 0.5700
Se 0.1296 0.5700 0.1296
Se 0.1384 0.6161 0.6161
Se 0.1391 0.1391 0.1391
Se 0.5700 0.1296 0.1296
Se 0.6123 0.6123 0.6123
Se 0.6161 0.1384 0.6161
Se 0.6161 0.6161 0.1384

Entry 6:
VASP calculation (PBE) on Rb3Pr2YSe6 after structural relaxation.

Summary:
Electronic total energy in eV/atom: -5.0539
Formation energy from raw total energies in eV/atom: -1.73
ρ in g/cm³: 4.6
Fermi-level density of states in states/eV/atom: 0.000

a b c (Å): 7.5432 7.5432 8.4084
angles (deg): 98.61 98.61 120.00
Element x y z (fractional)
Rb 0.0000 0.0000 0.0000
Rb 0.3318 0.6682 0.0000
Rb 0.6682 0.3318 0.0000
Pr 0.1665 0.8335 0.5000
Pr 0.8335 0.1665 0.5000
Y 0.5000 0.5000 0.5000
Se 0.1090 0.4333 0.3001
Se 0.2426 0.2426 0.7003
Se 0.4333 0.1090 0.3001
Se 0.5667 0.8910 0.6999
Se 0.7574 0.7574 0.2997
Se 0.8910 0.5667 0.6999

Entry 7:
VASP calculation (PBE) on Rb4PrY3Se8 after structural relaxation.

Summary:
Electronic total energy in eV/atom: -5.2355
Formation energy from raw total energies in eV/atom: -1.74
ρ in g/cm³: 4.5
Fermi-level density of states in states/eV/atom: 0.000

a b c (Å): 9.4116 9.4116 9.4116
angles (deg): 54.20 54.20 54.20
Element x y z (fractional)
Rb 0.0000 0.0000 0.0000
Rb 0.0000 0.5000 0.5000
Rb 0.5000 0.0000 0.5000
Rb 0.5000 0.5000 0.0000
Pr 0.5000 0.5000 0.5000
Y 0.0000 0.0000 0.5000
Y 0.0000 0.5000 0.0000
Y 0.5000 0.0000 0.0000
Se 0.2246 0.7369 0.7369
Se 0.2317 0.2317 0.2317
Se 0.2631 0.2631 0.7754
Se 0.2631 0.7754 0.2631
Se 0.7369 0.2246 0.7369
Se 0.7369 0.7369 0.2246
Se 0.7683 0.7683 0.7683
Se 0.7754 0.2631 0.2631

Entry 8:
VASP calculation (PBE) on Rb3Pr3ZrSe8 after structural relaxation.

Summary:
Electronic total energy in eV/atom: -5.2239
Formation energy from raw total energies in eV/atom: -1.65
ρ in g/cm³: 4.5

a b c (Å): 9.5605 9.5605 9.5605
angles (deg): 53.21 53.21 53.21
Element x y z (fractional)
Rb 0.0000 0.5000 0.5000
Rb 0.5000 0.0000 0.5000
Rb 0.5000 0.5000 0.0000
Pr 0.0000 0.0000 0.5000
Pr 0.0000 0.5000 0.0000
Pr 0.5000 0.0000 0.0000
Zr 0.5000 0.5000 0.5000
Se 0.2344 0.2344 0.2344
Se 0.2553 0.7175 0.7175
Se 0.2825 0.2825 0.7447
Se 0.2825 0.7447 0.2825
Se 0.7175 0.2553 0.7175
Se 0.7175 0.7175 0.2553
Se 0.7447 0.2825 0.2825
Se 0.7656 0.7656 0.7656

Q: The lowest electronic total energy belongs to which entry?
A: RbPrY4Se8

Q: What is the formula in the eighth record?
A: Rb3Pr3ZrSe8

Q: Which value of formation energy from raw total energies does entry 1 give?
A: -1.37 eV/atom

Q: ρ of number 1 (Rb3PrU2Se6)?
A: 5.8 g/cm³